1.
This record from Alexandria describes Tb2Pm3Mg after structural relaxation. The functional is GGA-PBE. Values from VASP.

Results
Fermi-level density of states, states/eV/cell: 7.21
Energy above the lowest structure with this stoichiometry, meV/atom: 0
Calculated volume, Å³/atom: 31.819
Calculated formation energy, meV per atom: -20
Density, g cm⁻³: 6.760
Symmetry: P4/mmm

Quantum ESPRESSO input file:
```
&SYSTEM
  ibrav = 0, nat = 6, ntyp = 3
/
ATOMIC_SPECIES
Pm 145.00 Pm.upf
Mg 24.30 Mg.upf
Tb 158.93 Tb.upf
ATOMIC_POSITIONS crystal
Pm 0.000 0.000 0.653
Pm 0.000 0.000 0.347
Pm 0.000 0.000 0.000
Mg 0.500 0.500 0.500
Tb 0.500 0.500 0.825
Tb 0.500 0.500 0.175
CELL_PARAMETERS angstrom
-0.148 3.102 -1.880
-0.514 -1.880 -3.062
-14.331 0.564 2.059
```

***

2.
This record from Alexandria describes Tb2Pm9Mg after structural relaxation. The functional is GGA-PBE. Values from VASP.

Results
Fermi-level density of states, states/eV/cell: 17.62
Calculated volume, Å³/atom: 33.046
Calculated formation energy, meV per atom: 12
Density, g cm⁻³: 6.897
Symmetry: P4/mmm

Quantum ESPRESSO input file:
```
&SYSTEM
  ibrav = 0, nat = 12, ntyp = 3
/
ATOMIC_SPECIES
Pm 145.00 Pm.upf
Tb 158.93 Tb.upf
Mg 24.30 Mg.upf
ATOMIC_POSITIONS crystal
Pm 0.500 0.000 0.164
Pm 0.500 0.500 0.670
Pm 0.000 0.500 0.500
Pm 0.000 0.500 0.836
Pm 0.500 0.500 0.000
Pm 0.500 0.000 0.500
Pm 0.500 0.500 0.330
Pm 0.000 0.500 0.164
Pm 0.500 0.000 0.836
Tb 0.000 0.000 0.331
Tb 0.000 0.000 0.669
Mg 0.000 0.000 0.000
CELL_PARAMETERS angstrom
5.082 0.000 0.000
0.000 5.082 0.000
0.000 0.000 15.352
```

***

3.
This record from Alexandria describes Tb2Pm5Mg5 after structural relaxation. The functional is GGA-PBE. Values from VASP.

Results
Fermi-level density of states, states/eV/cell: 13.47
Calculated volume, Å³/atom: 30.610
Calculated formation energy, meV per atom: 80
Density, g cm⁻³: 5.264
Symmetry: C2/m

Quantum ESPRESSO input file:
```
&SYSTEM
  ibrav = 0, nat = 12, ntyp = 3
/
ATOMIC_SPECIES
Tb 158.93 Tb.upf
Mg 24.30 Mg.upf
Pm 145.00 Pm.upf
ATOMIC_POSITIONS crystal
Tb 0.987 0.975 0.175
Tb 0.013 0.025 0.825
Mg 0.599 0.198 0.729
Mg 0.860 0.720 0.573
Mg 0.401 0.802 0.271
Mg 0.140 0.280 0.427
Mg 0.000 0.000 0.000
Pm 0.500 0.000 0.500
Pm 0.260 0.520 0.694
Pm 0.740 0.480 0.306
Pm 0.294 0.588 0.941
Pm 0.706 0.412 0.059
CELL_PARAMETERS angstrom
3.520 0.000 0.000
-1.760 7.535 -2.163
0.000 -6.947 15.841
```